DFT (PBE-GGA) results for Y2ScTaGa after structural relaxation.

a = 5.3681 Å, b = 5.3681 Å, c = 4.9378 Å
α = 90.00°, β = 90.00°, γ = 90.00°
Closest atoms and distances in Å follow each position.
Fractional positions:
1 Y 0.0000 0.5000 0.0000  2 Ga 2.68
2 Y 0.5000 0.0000 0.0000  2 Ga 2.68
3 Sc 0.0000 0.0000 0.5000  8 Y 3.65, 4 Ta 3.80
4 Ta 0.5000 0.5000 0.5000  2 Ga 2.47
5 Ga 0.5000 0.5000 0.0000  2 Ta 2.47, 4 Y 2.68

Calculated values
The formation energy is 2.62 eV per formula unit.

DFT (PBE-GGA) results for AlAgP2 after structural relaxation.

a = 6.4749 Å, b = 6.4749 Å, c = 6.4749 Å
α = 32.34°, β = 32.34°, γ = 32.34°
Closest atoms and distances in Å follow each position.
Fractional positions:
1 Al 0.0000 0.0000 0.0000  6 P 2.51
2 Ag 0.5000 0.5000 0.5000  6 P 2.67
3 P 0.2575 0.2575 0.2575  3 Al 2.51, 3 Ag 2.67
4 P 0.7425 0.7425 0.7425  3 Al 2.51, 3 Ag 2.67

Calculated values
The formation energy is 0.25 eV per formula unit.

DFT (PBE-GGA) results for Tb3CeSm2Dy6 after structural relaxation.

a = 6.1727 Å, b = 6.1727 Å, c = 11.7841 Å
α = 95.01°, β = 95.01°, γ = 119.99°
Closest atoms and distances in Å follow each position.
Fractional positions:
1 Tb 0.0000 0.0000 0.0000  6 Dy 3.54-3.56, 6 Tb 3.56-3.57
2 Tb 0.3328 0.6672 0.0000  6 Dy 3.55-3.56, 6 Tb 3.56-3.57
3 Tb 0.6672 0.3328 0.0000  6 Dy 3.55-3.56, 6 Tb 3.56-3.57
4 Ce 0.5000 0.5000 0.5000  6 Dy 3.55-3.56, 6 Sm 3.56-3.57
5 Sm 0.1665 0.8335 0.5000  3 Sm 3.56-3.57, 3 Ce 3.56-3.57, 6 Dy 3.57
6 Sm 0.8335 0.1665 0.5000  3 Sm 3.56-3.57, 3 Ce 3.56-3.57, 6 Dy 3.57
7 Dy 0.0854 0.4162 0.2493  6 Dy 3.54-3.58, 3 Tb 3.54-3.56, 1 Ce 3.55, 2 Sm 3.57
8 Dy 0.2528 0.2528 0.7510  6 Dy 3.54-3.58, 3 Tb 3.55-3.56, 1 Ce 3.56, 2 Sm 3.57
9 Dy 0.4162 0.0854 0.2493  6 Dy 3.54-3.58, 3 Tb 3.54-3.56, 1 Ce 3.55, 2 Sm 3.57
10 Dy 0.5838 0.9146 0.7507  6 Dy 3.54-3.58, 3 Tb 3.54-3.56, 1 Ce 3.55, 2 Sm 3.57
11 Dy 0.7472 0.7472 0.2490  6 Dy 3.54-3.58, 3 Tb 3.55-3.56, 1 Ce 3.56, 2 Sm 3.57
12 Dy 0.9146 0.5838 0.7507  6 Dy 3.54-3.58, 3 Tb 3.54-3.56, 1 Ce 3.55, 2 Sm 3.57

Calculated values
The formation energy is 0.42 eV per formula unit.

DFT (PBE-GGA) results for Pr2Nd4As3N2 after structural relaxation.

a = 12.8607 Å, b = 12.8607 Å, c = 12.8607 Å
α = 158.85°, β = 158.85°, γ = 30.09°
Closest atoms and distances in Å follow each position.
Fractional positions:
1 Pr 0.1969 0.1969 0.0000  1 N 2.33
2 Pr 0.8031 0.8031 0.0000  1 N 2.33
3 Nd 0.0798 0.5798 0.5000  2 N 2.43
4 Nd 0.4202 0.9202 0.5000  2 N 2.43
5 Nd 0.5798 0.0798 0.5000  2 N 2.43
6 Nd 0.9202 0.4202 0.5000  2 N 2.43
7 As 0.3241 0.3241 0.0000  5 Pr 3.16-3.38, 4 Nd 3.36
8 As 0.5000 0.5000 0.0000  8 Nd 3.08
9 As 0.6759 0.6759 0.0000  5 Pr 3.16-3.38, 4 Nd 3.36
10 N 0.1029 0.1029 0.0000  1 Pr 2.33, 4 Nd 2.43
11 N 0.8971 0.8971 0.0000  1 Pr 2.33, 4 Nd 2.43

Calculated values
As for the uncorrected formation energy: -1.21 eV per atom.

DFT (PBE-GGA) results for MnGeSe after structural relaxation.

a = 6.3459 Å, b = 6.3459 Å, c = 6.1812 Å
α = 115.51°, β = 115.51°, γ = 28.08°
Closest atoms and distances in Å follow each position.
Fractional positions:
1 Mn 0.2408 0.2408 0.3101  3 Se 2.34, 3 Ge 2.50-2.52
2 Mn 0.7592 0.7592 0.6899  3 Se 2.34, 3 Ge 2.50-2.52
3 Ge 0.1548 0.1548 0.8598  3 Mn 2.50-2.52, 2 Ge 2.70
4 Ge 0.8452 0.8452 0.1402  3 Mn 2.50-2.52, 2 Ge 2.70
5 Se 0.4035 0.4035 0.6962  3 Mn 2.34
6 Se 0.5965 0.5965 0.3038  3 Mn 2.34

Calculated values
As for the uncorrected formation energy: -0.12 eV per atom.

DFT (PBE-GGA) results for AlGaBi2H after structural relaxation.

a = 5.5929 Å, b = 5.5929 Å, c = 4.7721 Å
α = 90.00°, β = 90.00°, γ = 90.00°
Closest atoms and distances in Å follow each position.
Fractional positions:
1 Al 0.0000 0.0000 0.0000  2 Ga 2.39
2 Ga 0.0000 0.0000 0.5000  2 Al 2.39
3 Bi 0.0000 0.5000 0.5000  2 Ga 2.80
4 Bi 0.5000 0.0000 0.5000  2 Ga 2.80
5 H 0.5000 0.5000 0.0000  8 Bi 3.68, 4 Al 3.95

Calculated values
For the polymorph energy (0 for the lowest one), the calculation gives 809 meV/atom.

DFT (PBE-GGA) results for CePuGa2Pt2 after structural relaxation.

a = 4.5257 Å, b = 4.5257 Å, c = 6.8863 Å
α = 90.00°, β = 90.00°, γ = 120.00°
Closest atoms and distances in Å follow each position.
Fractional positions:
1 Ce 0.0000 0.0000 0.0000  6 Pt 3.14, 6 Ga 3.16, 2 Pu 3.44
2 Pu 0.0000 0.0000 0.5000  6 Ga 3.10, 6 Pt 3.12, 2 Ce 3.44
3 Ga 0.3333 0.6667 0.2571  3 Pt 2.61
4 Ga 0.6667 0.3333 0.7429  3 Pt 2.61
5 Pt 0.3333 0.6667 0.7469  3 Ga 2.61
6 Pt 0.6667 0.3333 0.2531  3 Ga 2.61

Calculated values
The formation energy is -5.23 eV per formula unit.

DFT (PBE-GGA) results for Rb2NaAgS after structural relaxation.

a = 6.4662 Å, b = 6.4662 Å, c = 5.2124 Å
α = 90.00°, β = 90.00°, γ = 90.00°
Closest atoms and distances in Å follow each position.
Fractional positions:
1 Rb 0.0000 0.5000 0.0000  2 S 3.23
2 Rb 0.5000 0.0000 0.0000  2 S 3.23
3 Na 0.0000 0.0000 0.5000  2 S 2.61
4 Ag 0.5000 0.5000 0.5000  8 Rb 4.15, 4 Na 4.57
5 S 0.0000 0.0000 0.0000  2 Na 2.61

Calculated values
As for the uncorrected formation energy: -0.50 eV per atom. For the polymorph energy (0 for the lowest one), the calculation gives 0 meV/atom.

Question: Which formula does entry 7 have?
Answer: CePuGa2Pt2